No. 1
Ca3AsIr: PBEsol geometry, meta-GGA SCAN.

Density   4.3 g cm⁻³
Space group   Pm-3m (221)
Spin magnetization   0.10 Bohr magnetons per cell

Unit cell a=5.3186 b=5.3186 c=5.3186 alpha=90.00 beta=90.00 gamma=90.00
Atoms (fractional coordinates):
1 Ir 0.5000 0.5000 0.5000
2 Ca 0.5000 0.0000 0.0000
3 Ca 0.0000 0.0000 0.5000
4 Ca 0.0000 0.5000 0.0000
5 As 0.0000 0.0000 0.0000

***

No. 2
AgWSe2N: PBEsol geometry, meta-GGA SCAN.

Density   8.1 g cm⁻³
Space group   P4/mmm (123)
Spin magnetization   0.00 Bohr magnetons per cell
Formation energy without anion corrections   1.3 eV/f.u.

Unit cell a=3.7825 b=5.0072 c=5.0072 alpha=90.00 beta=90.00 gamma=90.00
Atoms (fractional coordinates):
1 Ag 0.5000 0.5000 0.5000
2 Se 0.0000 0.5000 0.0000
3 Se 0.0000 0.0000 0.5000
4 W 0.0000 0.0000 0.0000
5 N 0.5000 0.0000 0.0000

***

No. 3
Li2AlW: PBEsol geometry, meta-GGA SCAN.

Density   6.4 g cm⁻³
Space group   P4/mmm (123)
Spin magnetization   0.25 Bohr magnetons per cell

Unit cell a=3.6616 b=3.6616 c=4.3493 alpha=90.00 beta=90.00 gamma=90.00
Atoms (fractional coordinates):
1 Li 0.0000 0.5000 0.0000
2 Li 0.5000 0.0000 0.0000
3 W 0.5000 0.5000 0.5000
4 Al 0.0000 0.0000 0.5000

***

No. 4
EuB3O6: PBEsol geometry, meta-GGA SCAN.

Density   4.7 g cm⁻³
Space group   C2/c (15)
Spin magnetization   11.98 Bohr magnetons per cell
Formation energy without anion corrections   -27.8 eV/f.u.

Unit cell a=6.3305 b=6.3305 c=6.2929 alpha=62.88 beta=62.88 gamma=79.46
Atoms (fractional coordinates):
1 O 0.4157 0.7872 0.5061
2 O 0.7924 0.6130 0.4984
3 O 0.7830 0.0078 0.2083
4 O 0.3870 0.2076 0.0016
5 O 0.0078 0.7830 0.7083
6 O 0.5843 0.2128 0.4939
7 O 0.2076 0.3870 0.5016
8 O 0.7872 0.4157 0.0061
9 O 0.2128 0.5843 0.9939
10 O 0.2170 0.9922 0.7917
11 O 0.6130 0.7924 0.9984
12 O 0.9922 0.2170 0.2917
13 B 0.6605 0.7926 0.4127
14 B 0.2074 0.3395 0.0873
15 B 0.7926 0.6605 0.9127
16 B 0.7787 0.2213 0.2500
17 B 0.3395 0.2074 0.5873
18 B 0.2213 0.7787 0.7500
19 Eu 0.2024 0.7976 0.2500
20 Eu 0.7976 0.2024 0.7500

***

No. 5
CoAsS2F: PBEsol geometry, meta-GGA SCAN.

Density   4.3 g cm⁻³
Space group   P4/mmm (123)
Spin magnetization   2.10 Bohr magnetons per cell
Formation energy without anion corrections   1.3 eV/f.u.

Unit cell a=4.1550 b=4.1550 c=4.8002 alpha=90.00 beta=90.00 gamma=90.00
Atoms (fractional coordinates):
1 F 0.5000 0.5000 0.5000
2 Co 0.0000 0.0000 0.0000
3 S 0.5000 0.0000 0.0000
4 S 0.0000 0.5000 0.0000
5 As 0.0000 0.0000 0.5000

***

No. 6
Al2PdI: PBEsol geometry, meta-GGA SCAN.

Density   4.2 g cm⁻³
Space group   I-42d (122)
Spin magnetization   0.00 Bohr magnetons per cell
Formation energy without anion corrections   -0.2 eV/f.u.

Unit cell a=5.9785 b=5.9785 c=7.6001 alpha=113.16 beta=113.16 gamma=90.00
Atoms (fractional coordinates):
1 Pd 0.5000 0.5000 0.0000
2 Pd 0.7500 0.2500 0.5000
3 Al 0.7782 0.3750 0.2500
4 Al 0.1250 0.2218 0.7500
5 Al 0.4718 0.8750 0.2500
6 Al 0.6250 0.5282 0.7500
7 I 0.0000 0.0000 0.0000
8 I 0.2500 0.7500 0.5000

***

No. 7
Mg2TlCu: PBEsol geometry, meta-GGA SCAN.

Density   6.8 g cm⁻³
Space group   Imm2 (44)
Spin magnetization   0.00 Bohr magnetons per cell

Unit cell a=3.3581 b=4.6615 c=5.7415 alpha=113.95 beta=107.00 gamma=90.00
Atoms (fractional coordinates):
1 Tl 0.5322 0.5322 0.0644
2 Mg 0.9640 0.9640 0.9280
3 Mg 0.7516 0.2516 0.5032
4 Cu 0.2522 0.7522 0.5044

***

No. 8
LiW2Cl: PBEsol geometry, meta-GGA SCAN.

Density   8.3 g cm⁻³
Space group   P4/mmm (123)
Spin magnetization   0.00 Bohr magnetons per cell
Formation energy without anion corrections   2.9 eV/f.u.

Unit cell a=3.5026 b=3.5026 c=6.6913 alpha=90.00 beta=90.00 gamma=90.00
Atoms (fractional coordinates):
1 Li 0.0000 0.0000 0.5000
2 W 0.5000 0.0000 0.0000
3 W 0.0000 0.5000 0.0000
4 Cl 0.5000 0.5000 0.5000

***

No. 9
CaMg3: PBEsol geometry, meta-GGA SCAN.

Density   1.8 g cm⁻³
Space group   P2/m (10)
Spin magnetization   0.01 Bohr magnetons per cell

Unit cell a=3.3443 b=5.0629 c=6.3994 alpha=90.00 beta=103.06 gamma=90.00
Atoms (fractional coordinates):
1 Mg 0.6766 0.5000 0.2698
2 Mg 0.5000 0.0000 0.5000
3 Mg 0.3234 0.5000 0.7302
4 Ca 0.0000 0.0000 0.0000

***

No. 10
K2YZr: PBEsol geometry, meta-GGA SCAN.

Density   3.2 g cm⁻³
Space group   C2/m (12)
Spin magnetization   1.41 Bohr magnetons per cell

Unit cell a=3.3251 b=5.9060 c=7.6944 alpha=112.19 beta=101.84 gamma=91.62
Atoms (fractional coordinates):
1 Zr 0.5000 0.0000 0.0000
2 Y 0.0000 0.5000 0.0000
3 K 0.5000 0.5000 0.5000
4 K 0.0000 0.0000 0.5000

***

No. 11
Rb3HfMn: PBEsol geometry, meta-GGA SCAN.

Density   2.9 g cm⁻³
Space group   Pm-3m (221)
Spin magnetization   9.22 Bohr magnetons per cell

Unit cell a=6.5792 b=6.5792 c=6.5792 alpha=90.00 beta=90.00 gamma=90.00
Atoms (fractional coordinates):
1 Hf 0.5000 0.5000 0.5000
2 Rb 0.0000 0.5000 0.0000
3 Rb 0.0000 0.0000 0.5000
4 Rb 0.5000 0.0000 0.0000
5 Mn 0.0000 0.0000 0.0000

***

No. 12
TeAuC2: PBEsol geometry, meta-GGA SCAN.

Density   9.2 g cm⁻³
Space group   I-42d (122)
Spin magnetization   0.00 Bohr magnetons per cell
Formation energy without anion corrections   6.7 eV/f.u.

Unit cell a=5.0281 b=5.0281 c=6.1120 alpha=114.29 beta=114.29 gamma=90.00
Atoms (fractional coordinates):
1 Au 0.2500 0.7500 0.5000
2 Au 0.0000 0.0000 0.0000
3 C 0.3690 0.8750 0.2500
4 C 0.8810 0.3750 0.2500
5 C 0.1250 0.1190 0.7500
6 C 0.6250 0.6310 0.7500
7 Te 0.7500 0.2500 0.5000
8 Te 0.5000 0.5000 0.0000

***

No. 13
PSeO2: PBEsol geometry, meta-GGA SCAN.

Density   4.3 g cm⁻³
Space group   Fd-3m (227)
Spin magnetization   2.71 Bohr magnetons per cell
Formation energy without anion corrections   -2.2 eV/f.u.

Unit cell a=5.3787 b=5.3787 c=5.3787 alpha=60.00 beta=60.00 gamma=60.00
Atoms (fractional coordinates):
1 P 0.5000 0.5000 0.5000
2 P 0.7500 0.7500 0.7500
3 Se 0.2500 0.2500 0.2500
4 Se 0.0000 0.0000 0.0000
5 O 0.6250 0.6250 0.1250
6 O 0.1250 0.6250 0.6250
7 O 0.6250 0.1250 0.6250
8 O 0.6250 0.6250 0.6250

***

No. 14
CdHg: PBEsol geometry, meta-GGA SCAN.

Density   12.0 g cm⁻³
Space group   Cm (8)
Spin magnetization   0.00 Bohr magnetons per cell

Unit cell a=3.1700 b=5.9716 c=7.6085 alpha=110.23 beta=90.00 gamma=105.39
Atoms (fractional coordinates):
1 Hg 0.2706 0.5411 0.0509
2 Hg 0.3290 0.6579 0.6728
3 Hg 0.9557 0.9114 0.3823
4 Cd 0.9976 0.9952 0.0055
5 Cd 0.6026 0.2052 0.7200
6 Cd 0.6779 0.3559 0.3351

***

No. 15
Tb2CdPd2: PBEsol geometry, meta-GGA SCAN.

Density   10.1 g cm⁻³
Space group   P4/mbm (127)
Spin magnetization   0.00 Bohr magnetons per cell

Unit cell a=3.6885 b=7.5805 c=7.5805 alpha=90.00 beta=90.00 gamma=90.00
Atoms (fractional coordinates):
1 Tb 0.5000 0.8275 0.3275
2 Tb 0.5000 0.3275 0.1725
3 Tb 0.5000 0.6725 0.8275
4 Tb 0.5000 0.1725 0.6725
5 Pd 0.0000 0.8713 0.6287
6 Pd 0.0000 0.1287 0.3713
7 Pd 0.0000 0.6287 0.1287
8 Pd 0.0000 0.3713 0.8713
9 Cd 0.0000 0.0000 0.0000
10 Cd 0.0000 0.5000 0.5000

***

No. 16
LiMn2Pt: PBEsol geometry, meta-GGA SCAN.

Density   10.2 g cm⁻³
Space group   P4mm (99)
Spin magnetization   0.19 Bohr magnetons per cell

Unit cell a=3.0814 b=3.0814 c=5.3701 alpha=90.00 beta=90.00 gamma=90.00
Atoms (fractional coordinates):
1 Mn 0.5000 0.5000 0.2329
2 Mn 0.0000 0.0000 0.0112
3 Li 0.5000 0.5000 0.7420
4 Pt 0.0000 0.0000 0.5139

***

No. 17
Mg2TlIn: PBEsol geometry, meta-GGA SCAN.

Density   6.6 g cm⁻³
Space group   P4/mmm (123)
Spin magnetization   0.00 Bohr magnetons per cell

Unit cell a=3.3826 b=3.3826 c=8.1052 alpha=90.00 beta=90.00 gamma=90.00
Atoms (fractional coordinates):
1 Mg 0.0000 0.0000 0.7476
2 Mg 0.0000 0.0000 0.2524
3 Tl 0.5000 0.5000 0.0000
4 In 0.5000 0.5000 0.5000

***

No. 18
GaRuOF2: PBEsol geometry, meta-GGA SCAN.

Density   5.6 g cm⁻³
Space group   P4/mmm (123)
Spin magnetization   0.85 Bohr magnetons per cell
Formation energy without anion corrections   -5.9 eV/f.u.

Unit cell a=3.7041 b=4.2491 c=4.2491 alpha=90.00 beta=90.00 gamma=90.00
Atoms (fractional coordinates):
1 F 0.0000 0.0000 0.5000
2 F 0.0000 0.5000 0.0000
3 Ga 0.5000 0.5000 0.5000
4 Ru 0.0000 0.0000 0.0000
5 O 0.5000 0.0000 0.0000

***

No. 19
SrBeCu3: PBEsol geometry, meta-GGA SCAN.

Density   3.6 g cm⁻³
Space group   Pm-3m (221)
Spin magnetization   0.00 Bohr magnetons per cell

Unit cell a=5.0968 b=5.0968 c=5.0968 alpha=90.00 beta=90.00 gamma=90.00
Atoms (fractional coordinates):
1 Cu 0.5000 0.0000 0.0000
2 Cu 0.0000 0.5000 0.0000
3 Cu 0.0000 0.0000 0.5000
4 Sr 0.0000 0.0000 0.0000
5 Be 0.5000 0.5000 0.5000

***

No. 20
Sn3PbF: PBEsol geometry, meta-GGA SCAN.

Density   7.8 g cm⁻³
Space group   Pm-3m (221)
Spin magnetization   0.00 Bohr magnetons per cell
Formation energy without anion corrections   -1.5 eV/f.u.

Unit cell a=4.9944 b=4.9944 c=4.9944 alpha=90.00 beta=90.00 gamma=90.00
Atoms (fractional coordinates):
1 Pb 0.5000 0.5000 0.5000
2 Sn 0.5000 0.0000 0.0000
3 Sn 0.0000 0.0000 0.5000
4 Sn 0.0000 0.5000 0.0000
5 F 0.0000 0.0000 0.0000

***

Final energy, record by record: -120.27 -149.20 -80.69 -282.43 -59.02 -170.50 -97.57 -146.84 -24.55 -72.19 -135.16 -239.72 -90.20 -295.64 -387.75 -110.83 -116.27 -70.43 -62.14 -188.55 eV/cell